Record 1
Crystalline CdIn2Hg2 at its relaxed geometry, computed with PBE.

Cell lengths 7.189, 5.940, 8.725 Å; angles 112.47, 90.00, 127.24 degrees
Fractional coordinates of all 10 atoms:
In1 0.903 0.696 0.539
In2 0.097 0.304 0.461
In3 0.207 0.304 0.961
In4 0.793 0.696 0.039
Cd1 0.672 0.000 0.750
Cd2 0.328 0.000 0.250
Hg1 0.467 0.277 0.653
Hg2 0.190 0.723 0.847
Hg3 0.533 0.723 0.347
Hg4 0.810 0.277 0.153

Computed properties:
space group = C2/c, No. 15
distance to the lowest polymorph of the same formula = 5.3 meV/atom
uncorrected energy = -1.38 eV per atom
energy of formation = 0.0205 eV per atom

---

Record 2
Crystalline NdTmSnPd at its relaxed geometry, computed with PBE.

Cell lengths 5.215, 5.215, 5.215 Å; angles 60.00, 60.00, 60.00 degrees
Fractional coordinates of all 4 atoms:
Nd1 0.000 0.000 0.000
Tm1 0.500 0.500 0.500
Pd1 0.750 0.750 0.750
Sn1 0.250 0.250 0.250

Computed properties:
space group = F-43m, No. 216
uncorrected energy = -5.31 eV per atom
energy of formation = -0.6991 eV per atom

---

Record 3
Crystalline HfCrSeCl2 at its relaxed geometry, computed with PBE.

Cell lengths 5.280, 5.131, 5.280 Å; angles 90.00, 90.00, 90.00 degrees
Fractional coordinates of all 5 atoms:
Cl1 0.500 0.000 0.000
Cl2 0.000 0.000 0.500
Se1 0.000 0.000 0.000
Cr1 0.500 0.500 0.500
Hf1 0.000 0.500 0.000

Computed properties:
space group = P4/mmm, No. 123
uncorrected energy = -4.61 eV per atom
energy relative to the elements, uncorrected = 0.74 eV/atom

---

Record 4
Crystalline BaScIr2Pt at its relaxed geometry, computed with PBE.

Cell lengths 5.135, 4.744, 5.135 Å; angles 90.00, 90.00, 90.00 degrees
Fractional coordinates of all 5 atoms:
Ir1 0.000 0.000 0.500
Ir2 0.500 0.000 0.000
Ba1 0.500 0.500 0.500
Pt1 0.000 0.000 0.000
Sc1 0.000 0.500 0.000

Computed properties:
space group = P4/mmm, No. 123
uncorrected energy = -6.08 eV per atom
energy of formation = 0.3269 eV per atom

---

Record 5
Crystalline Sn3IN at its relaxed geometry, computed with PBE.

Cell lengths 5.855, 5.855, 5.855 Å; angles 90.00, 90.00, 90.00 degrees
Fractional coordinates of all 5 atoms:
I1 0.000 0.000 0.000
Sn1 0.000 0.500 0.000
Sn2 0.000 0.000 0.500
Sn3 0.500 0.000 0.000
N1 0.500 0.500 0.500

Computed properties:
space group = Pm-3m, No. 221
distance to the lowest polymorph of the same formula = 1456.8 meV/atom
uncorrected energy = -2.36 eV per atom
energy relative to the elements, uncorrected = 2.01 eV/atom

---

Record 6
Crystalline Na3Er3GeTe8 at its relaxed geometry, computed with PBE.

Cell lengths 8.596, 8.606, 9.199 Å; angles 118.00, 90.00, 119.96 degrees
Fractional coordinates of all 15 atoms:
Er1 0.000 0.500 0.500
Er2 0.500 0.000 0.500
Er3 0.500 0.500 0.500
Te1 0.744 0.488 0.732
Te2 0.256 0.512 0.268
Te3 0.234 0.468 0.720
Te4 0.234 0.986 0.720
Te5 0.248 0.014 0.280
Te6 0.766 0.014 0.280
Te7 0.766 0.532 0.280
Te8 0.752 0.986 0.720
Na1 0.500 0.500 0.000
Na2 0.000 0.000 0.000
Na3 0.000 0.500 0.000
Ge1 0.000 0.000 0.500

Computed properties:
space group = C2/m, No. 12
uncorrected energy = -4.14 eV per atom
energy relative to the elements, uncorrected = -0.98 eV/atom

---

Record 7
Crystalline SiRhN at its relaxed geometry, computed with PBE.

Cell lengths 4.173, 4.173, 5.927 Å; angles 75.86, 75.86, 58.91 degrees
Fractional coordinates of all 6 atoms:
Rh1 0.575 0.575 0.377
Rh2 0.178 0.178 0.930
Si1 0.246 0.246 0.520
Si2 0.507 0.507 0.787
N1 0.128 0.128 0.306
N2 0.625 0.625 0.001

Computed properties:
space group = C2/m, No. 12
uncorrected energy = -6.99 eV per atom
energy relative to the elements, uncorrected = 0.04 eV/atom

---

Record 8
Crystalline Ni2SnPAu at its relaxed geometry, computed with PBE.

Cell lengths 4.679, 4.940, 4.679 Å; angles 90.00, 90.00, 90.00 degrees
Fractional coordinates of all 5 atoms:
Au1 0.500 0.500 0.500
Sn1 0.000 0.000 0.000
Ni1 0.000 0.000 0.500
Ni2 0.500 0.000 0.000
P1 0.000 0.500 0.000

Computed properties:
space group = P4/mmm, No. 123
uncorrected energy = -3.70 eV per atom
energy of formation = 1.1480 eV per atom

---

Record 9
Crystalline Be3MoW at its relaxed geometry, computed with PBE.

Cell lengths 4.050, 4.050, 4.050 Å; angles 90.00, 90.00, 90.00 degrees
Fractional coordinates of all 5 atoms:
Be1 0.000 0.500 0.000
Be2 0.500 0.000 0.000
Be3 0.000 0.000 0.500
Mo1 0.000 0.000 0.000
W1 0.500 0.500 0.500

Computed properties:
space group = Pm-3m, No. 221
distance to the lowest polymorph of the same formula = 0.0 meV/atom
uncorrected energy = -5.56 eV per atom
energy of formation = 1.4331 eV per atom

---

Record 10
Crystalline Ac2Be2BIr2 at its relaxed geometry, computed with PBE.

Cell lengths 4.253, 6.184, 6.147 Å; angles 75.20, 69.76, 69.89 degrees
Fractional coordinates of all 7 atoms:
Ir1 0.798 0.315 0.090
Ir2 0.202 0.685 0.910
Ac1 0.436 0.810 0.318
Ac2 0.564 0.190 0.682
Be1 0.792 0.626 0.789
Be2 0.208 0.374 0.211
B1 0.000 0.000 0.000

Computed properties:
space group = C2/m, No. 12
uncorrected energy = -6.17 eV per atom
energy of formation = -0.4504 eV per atom

---

Record 11
Crystalline Ce6SiTe3Se2 at its relaxed geometry, computed with PBE.

Cell lengths 4.310, 8.774, 9.775 Å; angles 104.30, 102.73, 90.00 degrees
Fractional coordinates of all 12 atoms:
Si1 0.500 0.000 0.000
Ce1 0.004 0.232 0.008
Ce2 0.341 0.907 0.683
Ce3 0.672 0.570 0.343
Ce4 0.996 0.768 0.992
Ce5 0.328 0.430 0.657
Ce6 0.659 0.093 0.317
Se1 0.834 0.667 0.667
Se2 0.166 0.333 0.333
Te1 0.168 0.833 0.336
Te2 0.500 0.500 0.000
Te3 0.832 0.167 0.664

Computed properties:
space group = C2/m, No. 12
uncorrected energy = -6.19 eV per atom
energy relative to the elements, uncorrected = -1.40 eV/atom

---

Record 12
Crystalline Tb2SmAl9 at its relaxed geometry, computed with PBE.

Cell lengths 5.600, 5.600, 9.349 Å; angles 72.57, 72.57, 60.00 degrees
Fractional coordinates of all 12 atoms:
Al1 0.413 0.924 0.251
Al2 0.500 0.500 0.500
Al3 0.076 0.587 0.749
Al4 0.336 0.336 0.993
Al5 0.664 0.664 0.007
Al6 0.413 0.413 0.251
Al7 0.587 0.076 0.749
Al8 0.587 0.587 0.749
Al9 0.924 0.413 0.251
Tb1 0.858 0.858 0.426
Tb2 0.142 0.142 0.574
Sm1 0.000 0.000 0.000

Computed properties:
space group = R-3m, No. 166
uncorrected energy = -4.36 eV per atom
energy of formation = -0.3848 eV per atom

---

Record 13
Crystalline Dy4NiRh3 at its relaxed geometry, computed with PBE.

Cell lengths 3.375, 4.864, 9.723 Å; angles 90.00, 90.00, 90.00 degrees
Fractional coordinates of all 8 atoms:
Ni1 0.500 0.500 0.000
Dy1 0.000 0.500 0.247
Dy2 0.000 0.000 0.000
Dy3 0.000 0.000 0.500
Dy4 0.000 0.500 0.753
Rh1 0.500 0.000 0.750
Rh2 0.500 0.500 0.500
Rh3 0.500 0.000 0.250

Computed properties:
space group = Pmmm, No. 47
uncorrected energy = -6.54 eV per atom
energy of formation = -0.7564 eV per atom

---

Record 14
Crystalline PrErNiIr at its relaxed geometry, computed with PBE.

Cell lengths 4.907, 4.907, 4.907 Å; angles 60.00, 60.00, 60.00 degrees
Fractional coordinates of all 4 atoms:
Pr1 0.500 0.500 0.500
Ir1 0.750 0.750 0.750
Ni1 0.250 0.250 0.250
Er1 0.000 0.000 0.000

Computed properties:
space group = F-43m, No. 216
uncorrected energy = -6.51 eV per atom
energy of formation = -0.5103 eV per atom

---

Record 15
Crystalline La2MgAgRh at its relaxed geometry, computed with PBE.

Cell lengths 5.467, 5.467, 5.073 Å; angles 90.00, 90.00, 90.00 degrees
Fractional coordinates of all 5 atoms:
Ag1 0.500 0.500 0.500
Rh1 0.000 0.000 0.000
La1 0.500 0.000 0.000
La2 0.000 0.500 0.000
Mg1 0.000 0.000 0.500

Computed properties:
space group = P4/mmm, No. 123
uncorrected energy = -4.65 eV per atom
energy of formation = -0.3217 eV per atom

---

Record 16
Crystalline CoHSBr at its relaxed geometry, computed with PBE.

Cell lengths 2.776, 3.892, 6.970 Å; angles 82.67, 101.03, 110.87 degrees
Fractional coordinates of all 4 atoms:
Br1 0.335 0.740 0.704
Co1 0.558 0.840 0.065
H1 0.121 0.041 0.987
S1 0.890 0.396 0.176

Computed properties:
space group = P1, No. 1
distance to the lowest polymorph of the same formula = 228.4 meV/atom
uncorrected energy = -4.04 eV per atom

---

Record 17
Crystalline CaMg8Ga4 at its relaxed geometry, computed with PBE.

Cell lengths 5.630, 7.574, 7.574 Å; angles 82.06, 68.18, 68.18 degrees
Fractional coordinates of all 13 atoms:
Mg1 0.715 0.785 0.785
Mg2 0.500 0.785 0.215
Mg3 0.000 0.649 0.351
Mg4 0.649 0.351 0.351
Mg5 0.351 0.649 0.649
Mg6 0.285 0.215 0.215
Mg7 0.500 0.215 0.785
Mg8 0.000 0.351 0.649
Ca1 0.000 0.000 0.000
Ga1 0.000 0.000 0.500
Ga2 0.000 0.500 0.000
Ga3 0.500 0.000 0.500
Ga4 0.500 0.500 0.000

Computed properties:
space group = I4/mmm, No. 139
uncorrected energy = -2.23 eV per atom
energy of formation = -0.1672 eV per atom

---

Record 18
Crystalline Pr12HoTl7 at its relaxed geometry, computed with PBE.

Cell lengths 8.661, 8.661, 8.661 Å; angles 89.15, 89.15, 89.15 degrees
Fractional coordinates of all 20 atoms:
Pr1 0.779 0.232 0.644
Pr2 0.432 0.113 0.339
Pr3 0.887 0.661 0.568
Pr4 0.768 0.356 0.221
Pr5 0.339 0.432 0.113
Pr6 0.661 0.568 0.887
Pr7 0.644 0.779 0.232
Pr8 0.568 0.887 0.661
Pr9 0.232 0.644 0.779
Pr10 0.356 0.221 0.768
Pr11 0.113 0.339 0.432
Pr12 0.221 0.768 0.356
Tl1 0.105 0.983 0.644
Tl2 0.895 0.017 0.356
Tl3 0.017 0.356 0.895
Tl4 0.983 0.644 0.105
Tl5 0.500 0.500 0.500
Tl6 0.356 0.895 0.017
Tl7 0.644 0.105 0.983
Ho1 0.000 0.000 0.000

Computed properties:
space group = R-3, No. 148
uncorrected energy = -4.09 eV per atom
energy of formation = -0.1661 eV per atom

---

Record 19
Crystalline NbNiB2 at its relaxed geometry, computed with PBE.

Cell lengths 3.678, 3.678, 7.140 Å; angles 75.08, 75.08, 90.00 degrees
Fractional coordinates of all 8 atoms:
B1 0.875 0.624 0.750
B2 0.376 0.625 0.250
B3 0.375 0.626 0.750
B4 0.374 0.125 0.250
Nb1 0.750 0.250 0.500
Nb2 0.000 0.000 0.000
Ni1 0.500 0.500 0.000
Ni2 0.250 0.750 0.500

Computed properties:
space group = I4_1/amd, No. 141
distance to the lowest polymorph of the same formula = 685.6 meV/atom
uncorrected energy = -7.24 eV per atom
energy of formation = 0.0605 eV per atom

---

Record 20
Crystalline Cs3Ac6F20 at its relaxed geometry, computed with PBE.

Cell lengths 9.188, 9.188, 9.188 Å; angles 60.00, 60.00, 60.00 degrees
Fractional coordinates of all 29 atoms:
F1 0.000 0.000 0.676
F2 0.324 0.676 0.000
F3 0.617 0.617 0.149
F4 0.676 0.324 0.000
F5 0.000 0.000 0.324
F6 0.000 0.676 0.324
F7 0.149 0.617 0.617
F8 0.383 0.383 0.383
F9 0.383 0.383 0.851
F10 0.676 0.000 0.000
F11 0.324 0.000 0.000
F12 0.383 0.851 0.383
F13 0.000 0.324 0.676
F14 0.000 0.676 0.000
F15 0.000 0.324 0.000
F16 0.324 0.000 0.676
F17 0.617 0.149 0.617
F18 0.617 0.617 0.617
F19 0.851 0.383 0.383
F20 0.676 0.000 0.324
Ac1 0.730 0.270 0.270
Ac2 0.270 0.730 0.730
Ac3 0.270 0.730 0.270
Ac4 0.730 0.730 0.270
Ac5 0.270 0.270 0.730
Ac6 0.730 0.270 0.730
Cs1 0.000 0.000 0.000
Cs2 0.750 0.750 0.750
Cs3 0.250 0.250 0.250

Computed properties:
space group = Fm-3m, No. 225
uncorrected energy = -6.01 eV per atom
energy relative to the elements, uncorrected = -3.78 eV/atom